Computed, not measured: a relaxed VTe2NO crystal at the PBE with a Hubbard U level of DFT.

The structure in POSCAR format:
```
VTe2NO
1.0
5.2562 0.0000 0.0000
0.0000 5.2562 0.0000
0.0000 0.0000 3.5868
V Te N O
1 2 1 1
direct
0.0000 0.0000 0.0000 V
0.0000 0.5000 0.0000 Te
0.5000 0.0000 0.0000 Te
0.0000 0.0000 0.5000 N
0.5000 0.5000 0.5000 O
```

Summary:
For the total moment, the calculation gives 1.1 μB per cell. For the offset from the most stable computed form, the calculation gives 0 meV per atom. Its total energy is -4.612 eV per atom.